Computed, not measured: NaCa2BiSe4 after structural relaxation at the PBE level of DFT.

Unit cell a=7.287 b=4.237 c=7.326 alpha=90.00 beta=108.62 gamma=90.00
Sites, in units of the cell vectors:
Na1 0.000 0.000 0.000
Ca1 0.500 0.000 0.500
Ca2 0.500 0.500 0.000
Bi1 0.000 0.500 0.500
Se1 0.248 0.000 0.747
Se2 0.256 0.500 0.257
Se3 0.744 0.500 0.743
Se4 0.752 0.000 0.253

* symmetry: P2/m
* crystal system: monoclinic
* energy relative to the elements, uncorrected: -1.34 eV/atom


Computed, not measured: NaCaBi2Se4 after structural relaxation at the PBE level of DFT.

Unit cell a=7.246 b=4.252 c=7.888 alpha=90.00 beta=111.77 gamma=90.00
Sites, in units of the cell vectors:
Na1 0.000 0.000 0.000
Ca1 0.000 0.500 0.500
Bi1 0.500 0.000 0.500
Bi2 0.500 0.500 0.000
Se1 0.248 0.500 0.266
Se2 0.263 0.000 0.747
Se3 0.737 0.000 0.253
Se4 0.752 0.500 0.734

* symmetry: P2/m
* crystal system: monoclinic
* energy relative to the elements, uncorrected: -0.84 eV/atom


Computed, not measured: Na2CaSnBi2 after structural relaxation at the PBE level of DFT.

Unit cell a=5.441 b=9.390 c=7.393 alpha=90.00 beta=90.00 gamma=90.00
Sites, in units of the cell vectors:
Na1 0.000 0.037 0.000
Na2 0.000 0.963 0.500
Na3 0.500 0.155 0.293
Na4 0.500 0.845 0.793
Ca1 0.500 0.483 0.994
Ca2 0.500 0.517 0.494
Sn1 0.000 0.321 0.671
Sn2 0.000 0.679 0.171
Bi1 0.000 0.344 0.249
Bi2 0.000 0.656 0.749
Bi3 0.500 0.184 0.757
Bi4 0.500 0.816 0.257

* symmetry: Pmc2_1
* ΔH_f (0 K): -0.3861 eV/atom
* crystal system: orthorhombic


Computed, not measured: NaSrCaBi after structural relaxation at the PBE level of DFT.

Unit cell a=5.799 b=5.799 c=5.799 alpha=60.00 beta=60.00 gamma=60.00
Sites, in units of the cell vectors:
Na1 0.000 0.000 0.000
Sr1 0.250 0.250 0.250
Ca1 0.750 0.750 0.750
Bi1 0.500 0.500 0.500

* symmetry: F-43m
* ΔH_f (0 K): -0.4316 eV/atom
* crystal system: cubic


Computed, not measured: NaCaTc2Bi after structural relaxation at the PBE level of DFT.

Unit cell a=4.967 b=4.967 c=4.950 alpha=90.00 beta=90.00 gamma=90.00
Sites, in units of the cell vectors:
Na1 0.000 0.000 0.000
Ca1 0.000 0.000 0.500
Tc1 0.000 0.500 0.500
Tc2 0.500 0.000 0.500
Bi1 0.500 0.500 0.000

* symmetry: P4/mmm
* ΔH_f (0 K): 1.7123 eV/atom
* crystal system: tetragonal


Computed, not measured: NaCa2BiTe4 after structural relaxation at the PBE level of DFT.

Unit cell a=9.046 b=9.046 c=9.046 alpha=119.75 beta=119.62 gamma=90.55
Sites, in units of the cell vectors:
Na1 0.000 0.000 0.000
Na2 0.500 0.000 0.500
Ca1 0.000 0.500 0.500
Ca2 0.500 0.000 0.000
Ca3 0.500 0.500 0.000
Ca4 0.500 0.500 0.500
Bi1 0.000 0.000 0.500
Bi2 0.000 0.500 0.000
Te1 0.245 0.750 0.495
Te2 0.246 0.250 0.995
Te3 0.249 0.254 0.505
Te4 0.249 0.744 0.995
Te5 0.751 0.256 0.005
Te6 0.751 0.746 0.495
Te7 0.754 0.750 0.005
Te8 0.755 0.250 0.505

* symmetry: Imma
* crystal system: orthorhombic
* energy relative to the elements, uncorrected: -1.04 eV/atom


Computed, not measured: Na2CaBiTe4 after structural relaxation at the PBE level of DFT.

Unit cell a=8.049 b=4.165 c=8.184 alpha=90.00 beta=105.49 gamma=90.00
Sites, in units of the cell vectors:
Na1 0.000 0.000 0.000
Na2 0.500 0.500 0.000
Ca1 0.000 0.500 0.500
Bi1 0.500 0.000 0.500
Te1 0.250 0.000 0.741
Te2 0.258 0.500 0.263
Te3 0.742 0.500 0.737
Te4 0.750 0.000 0.259

* symmetry: P2/m
* crystal system: monoclinic
* energy relative to the elements, uncorrected: -0.78 eV/atom


Computed, not measured: NaCa2BiTe after structural relaxation at the PBE level of DFT.

Unit cell a=6.084 b=6.084 c=5.043 alpha=90.00 beta=90.00 gamma=90.00
Sites, in units of the cell vectors:
Na1 0.000 0.000 0.000
Ca1 0.000 0.500 0.000
Ca2 0.500 0.000 0.000
Bi1 0.500 0.500 0.500
Te1 0.000 0.000 0.500

* symmetry: P4/mmm
* crystal system: tetragonal
* energy relative to the elements, uncorrected: 0.04 eV/atom


Computed, not measured: NaCaBi2Te4 after structural relaxation at the PBE level of DFT.

Unit cell a=7.867 b=4.475 c=8.479 alpha=90.00 beta=112.61 gamma=90.00
Sites, in units of the cell vectors:
Na1 0.000 0.000 0.000
Ca1 0.000 0.500 0.500
Bi1 0.500 0.000 0.500
Bi2 0.500 0.500 0.000
Te1 0.240 0.500 0.272
Te2 0.272 0.000 0.746
Te3 0.728 0.000 0.254
Te4 0.760 0.500 0.728

* symmetry: P2/m
* crystal system: monoclinic
* energy relative to the elements, uncorrected: -0.62 eV/atom


Computed, not measured: Na2CaTlBi2 after structural relaxation at the PBE level of DFT.

Unit cell a=4.798 b=9.797 c=8.220 alpha=90.00 beta=90.00 gamma=90.00
Sites, in units of the cell vectors:
Na1 0.000 0.075 0.000
Na2 0.000 0.925 0.500
Na3 0.500 0.188 0.308
Na4 0.500 0.812 0.808
Ca1 0.500 0.429 0.898
Ca2 0.500 0.571 0.398
Tl1 0.000 0.297 0.574
Tl2 0.000 0.703 0.074
Bi1 0.000 0.392 0.187
Bi2 0.000 0.608 0.687
Bi3 0.500 0.128 0.716
Bi4 0.500 0.872 0.216

* symmetry: Pmc2_1
* ΔH_f (0 K): -0.4028 eV/atom
* crystal system: orthorhombic


Computed, not measured: NaCaTlBi after structural relaxation at the PBE level of DFT.

Unit cell a=5.758 b=5.758 c=5.758 alpha=126.36 beta=126.36 gamma=79.29
Sites, in units of the cell vectors:
Na1 0.000 0.000 0.000
Ca1 0.500 0.500 0.000
Tl1 0.750 0.250 0.500
Bi1 0.250 0.750 0.500

* E above lowest polymorph: 0.00 eV/f.u.
* symmetry: I-4m2
* ΔH_f (0 K): -0.4224 eV/atom
* crystal system: tetragonal


Computed, not measured: NaCaTlBi after structural relaxation at the PBE level of DFT.

Unit cell a=5.543 b=5.543 c=5.543 alpha=60.00 beta=60.00 gamma=60.00
Sites, in units of the cell vectors:
Na1 0.000 0.000 0.000
Ca1 0.500 0.500 0.500
Tl1 0.750 0.750 0.750
Bi1 0.250 0.250 0.250

* E above lowest polymorph: 0.03 eV/f.u.
* symmetry: F-43m
* ΔH_f (0 K): -0.4159 eV/atom
* crystal system: cubic


Computed, not measured: NaCaY2Bi after structural relaxation at the PBE level of DFT.

Unit cell a=5.644 b=5.644 c=5.522 alpha=90.00 beta=90.00 gamma=90.00
Sites, in units of the cell vectors:
Na1 0.000 0.000 0.000
Ca1 0.500 0.500 0.500
Y1 0.000 0.500 0.000
Y2 0.500 0.000 0.000
Bi1 0.000 0.000 0.500

* symmetry: P4/mmm
* ΔH_f (0 K): 0.4613 eV/atom
* crystal system: tetragonal


Computed, not measured: NaCaZnBi after structural relaxation at the PBE level of DFT.

Unit cell a=5.383 b=5.383 c=5.383 alpha=60.00 beta=60.00 gamma=60.00
Sites, in units of the cell vectors:
Na1 0.000 0.000 0.000
Ca1 0.500 0.500 0.500
Zn1 0.750 0.750 0.750
Bi1 0.250 0.250 0.250

* symmetry: F-43m
* ΔH_f (0 K): -0.3997 eV/atom
* crystal system: cubic


Computed, not measured: CaNbBi3 after structural relaxation at the PBE level of DFT.

Unit cell a=5.564 b=5.564 c=5.564 alpha=90.00 beta=90.00 gamma=90.00
Sites, in units of the cell vectors:
Ca1 0.000 0.000 0.000
Nb1 0.500 0.500 0.500
Bi1 0.000 0.500 0.500
Bi2 0.500 0.000 0.500
Bi3 0.500 0.500 0.000

* E above lowest polymorph: 0.00 eV/f.u.
* symmetry: Pm-3m
* ΔH_f (0 K): 0.1321 eV/atom
* crystal system: cubic


Computed, not measured: CaNb3Bi after structural relaxation at the PBE level of DFT.

Unit cell a=5.258 b=5.258 c=5.258 alpha=90.00 beta=90.00 gamma=90.00
Sites, in units of the cell vectors:
Ca1 0.000 0.000 0.000
Nb1 0.000 0.500 0.500
Nb2 0.500 0.000 0.500
Nb3 0.500 0.500 0.000
Bi1 0.500 0.500 0.500

* E above lowest polymorph: 0.00 eV/f.u.
* symmetry: Pm-3m
* ΔH_f (0 K): 1.5024 eV/atom
* crystal system: cubic


Computed, not measured: CaNb3Bi after structural relaxation at the PBE level of DFT.

Unit cell a=4.885 b=4.885 c=4.885 alpha=90.00 beta=90.00 gamma=90.00
Sites, in units of the cell vectors:
Ca1 0.000 0.000 0.000
Nb1 0.000 0.000 0.500
Nb2 0.000 0.500 0.000
Nb3 0.500 0.000 0.000
Bi1 0.500 0.500 0.500

* E above lowest polymorph: 2.52 eV/f.u.
* symmetry: Pm-3m
* ΔH_f (0 K): 2.0068 eV/atom
* crystal system: cubic


Computed, not measured: CaNbBiO2 after structural relaxation at the PBE level of DFT.

Unit cell a=4.266 b=4.266 c=5.801 alpha=90.00 beta=90.00 gamma=90.00
Sites, in units of the cell vectors:
Ca1 0.000 0.000 0.000
Nb1 0.000 0.000 0.500
Bi1 0.500 0.500 0.500
O1 0.000 0.500 0.000
O2 0.500 0.000 0.000

* symmetry: P4/mmm
* crystal system: tetragonal
* energy relative to the elements, uncorrected: 0.21 eV/atom


Computed, not measured: CaNbBi2O8 after structural relaxation at the PBE level of DFT.

Unit cell a=5.040 b=5.040 c=6.842 alpha=90.00 beta=90.00 gamma=91.50
Sites, in units of the cell vectors:
Ca1 0.000 0.000 0.000
Nb1 0.000 0.000 0.500
Bi1 0.500 0.500 0.252
Bi2 0.500 0.500 0.748
O1 0.189 0.189 0.284
O2 0.189 0.189 0.716
O3 0.293 0.707 0.500
O4 0.316 0.684 0.000
O5 0.684 0.316 0.000
O6 0.707 0.293 0.500
O7 0.811 0.811 0.284
O8 0.811 0.811 0.716

* symmetry: Cmmm
* crystal system: orthorhombic
* energy relative to the elements, uncorrected: -1.75 eV/atom


Computed, not measured: Ca2NbBiP after structural relaxation at the PBE level of DFT.

Unit cell a=5.936 b=5.936 c=4.686 alpha=90.00 beta=90.00 gamma=90.00
Sites, in units of the cell vectors:
Ca1 0.000 0.500 0.000
Ca2 0.500 0.000 0.000
Nb1 0.000 0.000 0.000
Bi1 0.500 0.500 0.500
P1 0.000 0.000 0.500

* symmetry: P4/mmm
* ΔH_f (0 K): 0.3025 eV/atom
* crystal system: tetragonal


Across the entries above, total DFT energy (no corrections) takes the values -0.3108; -0.2918; -0.2293; -0.1950; -0.2848; -0.2764; -0.2508; -0.1784; -0.2628; -0.2105; -0.2068; -0.2064; -0.2620; -0.1851; -0.3389; -0.4201; -0.3830; -0.3650; -0.4930; -0.3212 Ry per atom, respectively.